[1]
Below is a relaxed NaAg3O crystal, with properties calculated at the PBE-GGA level.

Cell lengths 4.9572, 4.9572, 4.9572 Å; angles 90.00, 90.00, 90.00 degrees
Last column: nearest neighbours and their distance in Å.
Element x y z (fractional)
Na  0.0000  0.0000  0.0000  6 Ag 2.48
Ag  0.0000  0.0000  0.5000  2 Na 2.48
Ag  0.0000  0.5000  0.0000  2 Na 2.48
Ag  0.5000  0.0000  0.0000  2 Na 2.48
O  0.5000  0.5000  0.5000  12 Ag 3.51

Values from the calculation:
formation energy without anion corrections: 1.188 eV per atom
E_tot: -1.778 eV per atom
offset from the most stable computed form: 5.84 eV per formula unit

***

[2]
Below is a relaxed KPaCu2Se4 crystal, with properties calculated at the PBE-GGA level.

Cell lengths 6.6622, 6.6622, 6.6622 Å; angles 120.16, 107.90, 100.97 degrees
Last column: nearest neighbours and their distance in Å.
Element x y z (fractional)
K  0.0000  0.0000  0.0000  8 Se 3.39-3.42
Pa  0.5000  0.5000  0.0000  4 Se 2.70
Cu  0.3528  0.8528  0.5000  2 Se 2.32, 1 Cu 2.50
Cu  0.6472  0.1472  0.5000  2 Se 2.32, 1 Cu 2.50
Se  0.1202  0.0728  0.5708  1 Cu 2.32
Se  0.4981  0.9272  0.0475  1 Cu 2.32
Se  0.5019  0.5494  0.4292  1 Cu 2.32
Se  0.8798  0.4506  0.9525  1 Cu 2.32

Values from the calculation:
formation energy without anion corrections: -0.724 eV per atom
E_tot: -4.815 eV per atom

***

[3]
Below is a relaxed Dy5ThAg4 crystal, with properties calculated at the PBE-GGA level.

Cell lengths 3.6123, 3.6123, 19.5372 Å; angles 90.00, 90.00, 90.00 degrees
Last column: nearest neighbours and their distance in Å.
Element x y z (fractional)
Dy  0.0000  0.0000  0.0000  8 Ag 3.15
Dy  0.0000  0.0000  0.1892  8 Ag 3.13-3.16
Dy  0.0000  0.0000  0.3773  4 Ag 3.16, 4 Th 3.50
Dy  0.0000  0.0000  0.6227  4 Ag 3.16, 4 Th 3.50
Dy  0.0000  0.0000  0.8108  8 Ag 3.13-3.16
Th  0.5000  0.5000  0.5000  8 Dy 3.50, 4 Th 3.61
Ag  0.5000  0.5000  0.0942  8 Dy 3.15-3.16
Ag  0.5000  0.5000  0.2820  8 Dy 3.13-3.16
Ag  0.5000  0.5000  0.7180  8 Dy 3.13-3.16
Ag  0.5000  0.5000  0.9058  8 Dy 3.15-3.16

Values from the calculation:
energy of formation: -253 meV/atom
E_tot: -4.437 eV per atom